# 1
A relaxed ErAlIrO6 crystal. Source: the Alexandria database, functional PBE.

Results
uncorrected formation energy = -1910 meV/atom
calculated total energy = -7.123 eV per atom
Fermi-level density of states = 0.74 states/eV/atom
magnetization = 0.029 Bohr magnetons per cell

a b c (Å): 5.190 5.190 8.564
angles (deg): 90.00 90.00 120.00
Fractional coordinates of all 18 atoms:
1 Er 0.333 0.667 0.250
2 Er 0.667 0.333 0.750
3 Al 0.000 0.000 0.000
4 Al 0.000 0.000 0.500
5 Ir 0.333 0.667 0.750
6 Ir 0.667 0.333 0.250
7 O 0.040 0.340 0.618
8 O 0.040 0.700 0.882
9 O 0.300 0.340 0.882
10 O 0.300 0.960 0.618
11 O 0.340 0.040 0.118
12 O 0.340 0.300 0.382
13 O 0.660 0.700 0.618
14 O 0.660 0.960 0.882
15 O 0.700 0.040 0.382
16 O 0.700 0.660 0.118
17 O 0.960 0.300 0.118
18 O 0.960 0.660 0.382

***

# 2
A relaxed TbPr5Mg3 crystal. Source: the Alexandria database, functional PBE.

Results
formation enthalpy at 0 K = 0.35 eV/atom
calculated total energy = -3.354 eV per atom
Fermi-level density of states = 1.44 states/eV/atom
magnetization = 0.005 Bohr magnetons per cell

a b c (Å): 8.003 8.003 11.041
angles (deg): 96.44 96.44 62.59
Fractional coordinates of all 18 atoms:
1 Tb 0.104 0.104 0.266
2 Tb 0.896 0.896 0.734
3 Pr 0.059 0.639 0.280
4 Pr 0.243 0.243 0.033
5 Pr 0.329 0.671 0.000
6 Pr 0.361 0.941 0.720
7 Pr 0.490 0.490 0.364
8 Pr 0.510 0.510 0.636
9 Pr 0.639 0.059 0.280
10 Pr 0.671 0.329 0.000
11 Pr 0.757 0.757 0.967
12 Pr 0.941 0.361 0.720
13 Mg 0.000 0.000 0.000
14 Mg 0.000 0.000 0.500
15 Mg 0.276 0.276 0.506
16 Mg 0.342 0.342 0.789
17 Mg 0.658 0.658 0.211
18 Mg 0.724 0.724 0.494

***

# 3
A relaxed Ba2CrCd crystal. Source: the Alexandria database, functional PBE.

Results
formation enthalpy at 0 K = 0.26 eV/atom
calculated total energy = -3.334 eV per atom
Fermi-level density of states = 1.15 states/eV/atom
magnetization = 4.581 Bohr magnetons per cell

a b c (Å): 5.988 5.988 4.191
angles (deg): 90.00 90.00 90.07
Fractional coordinates of all 4 atoms:
1 Ba 0.000 0.500 0.000
2 Ba 0.500 0.000 0.000
3 Cr 0.000 0.000 0.500
4 Cd 0.500 0.500 0.500